This record from Alexandria via LeMat-Bulk describes a geometry-optimized Sr2Ca2I structure. The functional is PBE.

Cell lengths 8.858, 8.858, 6.308 Å; angles 90.00, 90.00, 90.00 degrees
Positions (direct):
Sr 0.158 0.342 0.000
Sr 0.342 0.842 0.000
Sr 0.658 0.158 0.000
Sr 0.842 0.658 0.000
Ca 0.147 0.647 0.500
Ca 0.353 0.147 0.500
Ca 0.647 0.853 0.500
Ca 0.853 0.353 0.500
I 0.000 0.000 0.000
I 0.500 0.500 0.000

## Properties
As for the energy above the most stable polymorph in this dataset: 0.0046 eV/atom. The formation energy without anion corrections is -0.26 eV per atom. As for the uncorrected energy: -2.044 eV/atom.